Computed, not measured: crystalline CuNi2Cl at its relaxed geometry at the GGA-PBE level of DFT.

Size of the total moment in μB per formula unit: 1.1
Mass density in Mg/m³: 6.9
DFT total energy in eV/atom: -4.075
Energy relative to the lowest polymorph listed for this composition in kJ per mole of atoms: 13.7

a b c (Å): 7.465 7.465 7.465
angles (deg): 22.28 22.28 22.28
Sites, in units of the cell vectors:
1 Cu 0.000 0.000 0.000
2 Ni 0.249 0.249 0.249
3 Ni 0.751 0.751 0.751
4 Cl 0.500 0.500 0.500